Entry 1:
This record from Alexandria describes a relaxed structure of Pm2TeS. The functional is PBE-GGA.

Computed properties:
- magnetization (μB per atom) = 0.00
- total DFT energy (no corrections) (eV/cell) = -23.7
- formation energy without anion corrections (kJ/mol of atoms) = -168
- E above lowest polymorph (meV/atom) = 12
- Fermi-level density of states (states/eV/f.u.) = 1.2

POSCAR file:
```
Pm2TeS
1.0
2.1025 1.2139 7.1105
-2.1025 1.2139 7.1105
0.0000 -2.4277 7.1105
Pm Te S
2 1 1
direct
0.2349 0.2349 0.2349 Pm
0.7651 0.7651 0.7651 Pm
0.0000 0.0000 0.0000 Te
0.5000 0.5000 0.5000 S
```

Entry 2:
This record from Alexandria describes a relaxed structure of La4MgIr. The functional is PBE-GGA.

Computed properties:
- magnetization (μB per atom) = 0.00
- total DFT energy (no corrections) (eV/cell) = -63.7
- ΔE_f (eV/atom) = -0.2831
- E above lowest polymorph (meV/atom) = 107
- Fermi-level density of states (states/eV/f.u.) = 7.2

POSCAR file:
```
La4MgIr
1.0
4.7297 -6.6795 0.0000
4.7297 6.6795 0.0000
-1.8291 0.0000 5.9707
La Mg Ir
8 2 2
direct
0.0525 0.7135 0.9482 La
0.1848 0.3657 0.6087 La
0.2865 0.9475 0.5518 La
0.3657 0.1848 0.1087 La
0.6343 0.8152 0.8913 La
0.7135 0.0525 0.4482 La
0.8152 0.6343 0.3913 La
0.9475 0.2865 0.0518 La
0.3868 0.6132 0.2500 Mg
0.6132 0.3868 0.7500 Mg
0.0019 0.9981 0.2500 Ir
0.9981 0.0019 0.7500 Ir
```

Entry 3:
This record from Alexandria describes a relaxed structure of FeReN. The functional is PBE-GGA.

Computed properties:
- magnetization (μB per atom) = 0.50
- total DFT energy (no corrections) (eV/cell) = -114.4
- formation energy without anion corrections (kJ/mol of atoms) = 20
- Fermi-level density of states (states/eV/f.u.) = 2.2

POSCAR file:
```
FeReN
1.0
0.0000 4.7796 3.4474
4.0761 0.0000 3.4474
4.0761 4.7796 0.0000
Fe Re N
4 4 4
direct
0.0880 0.9120 0.1558 Fe
0.0942 0.4058 0.1620 Fe
0.4058 0.0942 0.3380 Fe
0.9120 0.0880 0.8442 Fe
0.0697 0.6635 0.6289 Re
0.6121 0.6211 0.5865 Re
0.6211 0.6121 0.1803 Re
0.6635 0.0697 0.6379 Re
0.2564 0.5139 0.3013 N
0.3215 0.9487 0.7361 N
0.5139 0.2564 0.9285 N
0.9487 0.3215 0.9936 N
```

Entry 4:
This record from Alexandria describes a relaxed structure of V5Hg3Se12. The functional is PBE-GGA.

Computed properties:
- magnetization (μB per atom) = 0.22
- total DFT energy (no corrections) (eV/cell) = -377.0
- formation energy without anion corrections (kJ/mol of atoms) = -29
- Fermi-level density of states (states/eV/f.u.) = 16.2

POSCAR file:
```
V5Hg3Se12
1.0
-7.8890 7.8890 7.8890
7.8890 -7.8890 7.8890
7.8890 7.8890 -7.8890
V Hg Se
20 12 48
direct
0.0000 0.0000 0.0000 V
0.0000 0.0000 0.5000 V
0.0000 0.5000 0.0000 V
0.0000 0.5000 0.5000 V
0.1250 0.7500 0.8750 V
0.1250 0.8750 0.2500 V
0.2500 0.1250 0.8750 V
0.2500 0.6250 0.3750 V
0.3750 0.2500 0.6250 V
0.3750 0.6250 0.7500 V
0.5000 0.0000 0.0000 V
0.5000 0.0000 0.5000 V
0.5000 0.5000 0.0000 V
0.5000 0.5000 0.5000 V
0.6250 0.3750 0.2500 V
0.6250 0.7500 0.3750 V
0.7500 0.3750 0.6250 V
0.7500 0.8750 0.1250 V
0.8750 0.1250 0.7500 V
0.8750 0.2500 0.1250 V
0.1250 0.2500 0.3750 Hg
0.1250 0.3750 0.7500 Hg
0.2500 0.3750 0.1250 Hg
0.2500 0.8750 0.6250 Hg
0.3750 0.1250 0.2500 Hg
0.3750 0.7500 0.1250 Hg
0.6250 0.2500 0.8750 Hg
0.6250 0.8750 0.7500 Hg
0.7500 0.1250 0.3750 Hg
0.7500 0.6250 0.8750 Hg
0.8750 0.6250 0.2500 Hg
0.8750 0.7500 0.6250 Hg
0.0183 0.2012 0.1083 Se
0.0183 0.3171 0.9100 Se
0.0900 0.6083 0.4071 Se
0.0900 0.9817 0.6829 Se
0.0929 0.7012 0.6829 Se
0.0929 0.8917 0.4100 Se
0.1083 0.0183 0.2012 Se
0.1083 0.5900 0.9071 Se
0.1829 0.2012 0.5929 Se
0.1829 0.4817 0.5900 Se
0.2012 0.1083 0.0183 Se
0.2012 0.5929 0.1829 Se
0.2988 0.3171 0.9071 Se
0.2988 0.4817 0.3917 Se
0.3171 0.9071 0.2988 Se
0.3171 0.9100 0.0183 Se
0.3917 0.2988 0.4817 Se
0.3917 0.5929 0.9100 Se
0.4071 0.0900 0.6083 Se
0.4071 0.8171 0.7988 Se
0.4100 0.0929 0.8917 Se
0.4100 0.8171 0.5183 Se
0.4817 0.3917 0.2988 Se
0.4817 0.5900 0.1829 Se
0.5183 0.4100 0.8171 Se
0.5183 0.6083 0.7012 Se
0.5900 0.1829 0.4817 Se
0.5900 0.9071 0.1083 Se
0.5929 0.1829 0.2012 Se
0.5929 0.9100 0.3917 Se
0.6083 0.4071 0.0900 Se
0.6083 0.7012 0.5183 Se
0.6829 0.0900 0.9817 Se
0.6829 0.0929 0.7012 Se
0.7012 0.5183 0.6083 Se
0.7012 0.6829 0.0929 Se
0.7988 0.4071 0.8171 Se
0.7988 0.8917 0.9817 Se
0.8171 0.5183 0.4100 Se
0.8171 0.7988 0.4071 Se
0.8917 0.4100 0.0929 Se
0.8917 0.9817 0.7988 Se
0.9071 0.1083 0.5900 Se
0.9071 0.2988 0.3171 Se
0.9100 0.0183 0.3171 Se
0.9100 0.3917 0.5929 Se
0.9817 0.6829 0.0900 Se
0.9817 0.7988 0.8917 Se
```